This record from Alexandria via LeMat-Bulk describes a PBEsol-optimized structure of Na2HgGe2. The functional is meta-GGA SCAN.

Cell and atoms, written as CIF:
```
data_Na2HgGe2
_chemical_formula_sum 'Na4 Hg2 Ge4'
_cell_length_a 3.6883
_cell_length_b 3.6883
_cell_length_c 17.6382
_cell_angle_alpha 90.00
_cell_angle_beta 90.00
_cell_angle_gamma 90.00
_space_group_name_H-M_alt 'I 4/m m m'
_space_group_IT_number 139
_space_group_name_Hall '-I 4 2'
loop_
_atom_site_label
_atom_site_type_symbol
_atom_site_fract_x
_atom_site_fract_y
_atom_site_fract_z
Na1 Na 0.0000 0.0000 0.1062
Hg1 Hg 0.0000 0.0000 0.5000
Ge1 Ge 0.0000 0.5000 0.2500
```

Output
Formation energy ... -4.2 kJ per mole of atoms
Crystal system ... tetragonal

=====

This record from Alexandria via LeMat-Bulk describes a PBEsol-optimized structure of CrPW2C. The functional is meta-GGA SCAN.

Cell and atoms, written as CIF:
```
data_CrPW2C
_chemical_formula_sum 'Cr1 P1 W2 C1'
_cell_length_a 4.1013
_cell_length_b 4.1013
_cell_length_c 3.7560
_cell_angle_alpha 90.00
_cell_angle_beta 90.00
_cell_angle_gamma 90.00
_space_group_name_H-M_alt 'P 4/m m m'
_space_group_IT_number 123
_space_group_name_Hall '-P 4 2'
loop_
_atom_site_label
_atom_site_type_symbol
_atom_site_fract_x
_atom_site_fract_y
_atom_site_fract_z
Cr1 Cr 0.0000 0.0000 0.0000
P1 P 0.5000 0.5000 0.0000
W1 W 0.0000 0.5000 0.5000
C1 C 0.0000 0.0000 0.5000
```

Output
Formation energy ... 45.8 kJ per mole of atoms
Crystal system ... tetragonal

=====

This record from Alexandria via LeMat-Bulk describes a PBEsol-optimized structure of TaAgW2. The functional is meta-GGA SCAN.

Cell and atoms, written as CIF:
```
data_TaAgW2
_chemical_formula_sum 'Ta2 Ag2 W4'
_cell_length_a 4.1733
_cell_length_b 4.1733
_cell_length_c 7.4628
_cell_angle_alpha 90.00
_cell_angle_beta 90.00
_cell_angle_gamma 90.00
_space_group_name_H-M_alt 'I -4 m 2'
_space_group_IT_number 119
_space_group_name_Hall 'I -4 -2'
loop_
_atom_site_label
_atom_site_type_symbol
_atom_site_fract_x
_atom_site_fract_y
_atom_site_fract_z
Ta1 Ta 0.0000 0.0000 0.0000
Ag1 Ag 0.0000 0.5000 0.7500
W1 W 0.0000 0.0000 0.5000
W2 W 0.0000 0.5000 0.2500
```

Output
Formation energy ... 45.3 kJ per mole of atoms
Crystal system ... tetragonal
Excess energy over the best structure of this formula in the dataset ... 105 meV per atom

=====

This record from Alexandria via LeMat-Bulk describes a PBEsol-optimized structure of LiFe3C. The functional is meta-GGA SCAN.

Cell and atoms, written as CIF:
```
data_LiFe3C
_chemical_formula_sum 'Li1 Fe3 C1'
_cell_length_a 3.8100
_cell_length_b 3.8100
_cell_length_c 3.8100
_cell_angle_alpha 90.00
_cell_angle_beta 90.00
_cell_angle_gamma 90.00
_space_group_name_H-M_alt 'P m -3 m'
_space_group_IT_number 221
_space_group_name_Hall '-P 4 2 3'
loop_
_atom_site_label
_atom_site_type_symbol
_atom_site_fract_x
_atom_site_fract_y
_atom_site_fract_z
Li1 Li 0.0000 0.0000 0.0000
Fe1 Fe 0.0000 0.0000 0.5000
C1 C 0.5000 0.5000 0.5000
```

Output
Formation energy ... 192.8 kJ per mole of atoms
Crystal system ... cubic
Excess energy over the best structure of this formula in the dataset ... 1801 meV per atom

=====

This record from Alexandria via LeMat-Bulk describes a PBEsol-optimized structure of AlW2Cl. The functional is meta-GGA SCAN.

Cell and atoms, written as CIF:
```
data_AlW2Cl
_chemical_formula_sum 'Al1 W2 Cl1'
_cell_length_a 2.7139
_cell_length_b 4.1642
_cell_length_c 5.7879
_cell_angle_alpha 90.00
_cell_angle_beta 90.00
_cell_angle_gamma 90.00
_space_group_name_H-M_alt 'P m m 2'
_space_group_IT_number 25
loop_
_space_group_symop_operation_xyz
'x,y,z'
'-x,-y,z'
'-x,y,z'
'x,-y,z'
loop_
_atom_site_label
_atom_site_type_symbol
_atom_site_fract_x
_atom_site_fract_y
_atom_site_fract_z
Al1 Al 0.0000 0.0000 0.0000
W1 W 0.0000 0.0000 0.5228
W2 W 0.5000 0.5000 0.7600
Cl1 Cl 0.5000 0.5000 0.3444
```

Output
Formation energy without anion corrections ... 0.65 eV/atom
Crystal system ... orthorhombic
Excess energy over the best structure of this formula in the dataset ... 172 meV per atom

=====

This record from Alexandria via LeMat-Bulk describes a PBEsol-optimized structure of Cs3V4Te2ClO14. The functional is meta-GGA SCAN.

Cell and atoms, written as CIF:
```
data_Cs3V4Te2ClO14
_chemical_formula_sum 'Cs6 V8 Te4 Cl2 O28'
_cell_length_a 6.7360
_cell_length_b 23.9084
_cell_length_c 5.4526
_cell_angle_alpha 90.00
_cell_angle_beta 90.00
_cell_angle_gamma 90.00
_space_group_name_H-M_alt 'P n n m'
_space_group_IT_number 58
loop_
_space_group_symop_operation_xyz
'x,y,z'
'-x,-y,-z'
'-x,-y,z'
'x,y,-z'
'x+1/2,-y+1/2,-z+1/2'
'-x+1/2,y+1/2,z+1/2'
'-x+1/2,y+1/2,-z+1/2'
'x+1/2,-y+1/2,z+1/2'
loop_
_atom_site_label
_atom_site_type_symbol
_atom_site_fract_x
_atom_site_fract_y
_atom_site_fract_z
Cs1 Cs 0.0000 0.0000 0.0000
Cs2 Cs 0.1731 0.2294 0.0000
V1 V 0.0498 0.8846 0.5000
V2 V 0.1455 0.3630 0.5000
Te1 Te 0.0523 0.5827 0.0000
Cl1 Cl 0.0000 0.5000 0.5000
O1 O 0.0138 0.1808 0.5000
O2 O 0.0682 0.6349 0.2600
O3 O 0.1633 0.0679 0.5000
O4 O 0.1966 0.8989 0.2460
O5 O 0.2201 0.2988 0.5000
```

Output
Formation energy without anion corrections ... -2.21 eV/atom
Crystal system ... orthorhombic